No. 1
Material: SmGdTmZr
Method: DFT, GGA-PBE
State: relaxed

```
data_SmGdTmZr
_cell_length_a 5.511
_cell_length_b 5.511
_cell_length_c 5.511
_cell_angle_alpha 60.00
_cell_angle_beta 60.00
_cell_angle_gamma 60.00
_space_group_name_H-M_alt 'P 1'
_space_group_IT_number 1
loop_
_space_group_symop_operation_xyz
'x,y,z'
loop_
_atom_site_label
_atom_site_type_symbol
_atom_site_fract_x
_atom_site_fract_y
_atom_site_fract_z
_atom_site_occupancy
Gd1 Gd 0.000 0.000 0.000 1
Tm1 Tm 0.500 0.500 0.500 1
Zr1 Zr 0.250 0.250 0.250 1
Sm1 Sm 0.750 0.750 0.750 1
```

Computed properties:
Formation energy from the elements: 0.206 eV/atom

No. 2
Material: Hf3ScBe
Method: DFT, GGA-PBE
State: relaxed

```
data_Hf3ScBe
_cell_length_a 4.768
_cell_length_b 4.768
_cell_length_c 4.768
_cell_angle_alpha 90.00
_cell_angle_beta 90.00
_cell_angle_gamma 90.00
_space_group_name_H-M_alt 'P 1'
_space_group_IT_number 1
loop_
_space_group_symop_operation_xyz
'x,y,z'
loop_
_atom_site_label
_atom_site_type_symbol
_atom_site_fract_x
_atom_site_fract_y
_atom_site_fract_z
_atom_site_occupancy
Hf1 Hf 0.000 0.000 0.500 1
Hf2 Hf 0.500 0.000 0.000 1
Hf3 Hf 0.000 0.500 0.000 1
Be1 Be 0.000 0.000 0.000 1
Sc1 Sc 0.500 0.500 0.500 1
```

Computed properties:
Energy above the most stable polymorph in this dataset: 0.000 eV per atom
Formation energy from the elements: 0.356 eV/atom

No. 3
Material: LaCd2In2
Method: DFT, GGA-PBE
State: relaxed

```
data_LaCd2In2
_cell_length_a 8.850
_cell_length_b 8.850
_cell_length_c 3.371
_cell_angle_alpha 90.00
_cell_angle_beta 90.00
_cell_angle_gamma 90.00
_space_group_name_H-M_alt 'P 1'
_space_group_IT_number 1
loop_
_space_group_symop_operation_xyz
'x,y,z'
loop_
_atom_site_label
_atom_site_type_symbol
_atom_site_fract_x
_atom_site_fract_y
_atom_site_fract_z
_atom_site_occupancy
Cd1 Cd 0.663 0.837 0.500 1
Cd2 Cd 0.163 0.663 0.500 1
Cd3 Cd 0.337 0.163 0.500 1
Cd4 Cd 0.837 0.337 0.500 1
In1 In 0.134 0.366 0.000 1
In2 In 0.634 0.134 0.000 1
In3 In 0.866 0.634 0.000 1
In4 In 0.366 0.866 0.000 1
La1 La 0.000 0.000 0.000 1
La2 La 0.500 0.500 0.000 1
```

Computed properties:
Formation energy from the elements: -0.169 eV/atom

No. 4
Material: TaGa2Sn
Method: DFT, GGA-PBE
State: relaxed

```
data_TaGa2Sn
_cell_length_a 3.067
_cell_length_b 3.067
_cell_length_c 10.044
_cell_angle_alpha 81.22
_cell_angle_beta 81.22
_cell_angle_gamma 60.00
_space_group_name_H-M_alt 'P 1'
_space_group_IT_number 1
loop_
_space_group_symop_operation_xyz
'x,y,z'
loop_
_atom_site_label
_atom_site_type_symbol
_atom_site_fract_x
_atom_site_fract_y
_atom_site_fract_z
_atom_site_occupancy
Ta1 Ta 0.500 0.500 0.500 1
Ga1 Ga 0.094 0.094 0.718 1
Ga2 Ga 0.906 0.906 0.282 1
Sn1 Sn 0.000 0.000 0.000 1
```

Computed properties:
Formation energy from the elements: 0.027 eV/atom